First-principles (GGA-PBE) data for a relaxed structure of PaMnAlZn, as listed in Alexandria.

Summary:
* V: 17.54 A^3/atom
* calculated formation energy: 10 meV per atom
* D(E_F): 0.719 states/eV per atom
* magnetization: 0.55 μB/atom

Cell: 4.629 4.629 4.629 Å, 60.00 60.00 60.00°
Element x y z (fractional)
Pa 0.000 0.000 0.000
Mn 0.750 0.750 0.750
Al 0.500 0.500 0.500
Zn 0.250 0.250 0.250

---

First-principles (GGA-PBE) data for a relaxed structure of MnAlPb2, as listed in Alexandria.

Summary:
* V: 23.69 A^3/atom
* calculated formation energy: 318 meV per atom
* D(E_F): 0.731 states/eV per atom
* magnetization: 0.91 μB/atom

Cell: 10.541 10.541 10.541 Å, 17.72 17.72 17.72°
Element x y z (fractional)
Mn 0.000 0.000 0.000
Al 0.274 0.274 0.274
Pb 0.519 0.519 0.519
Pb 0.745 0.745 0.745

---

First-principles (GGA-PBE) data for a relaxed structure of MnAlPb2, as listed in Alexandria.

Summary:
* V: 23.60 A^3/atom
* calculated formation energy: 402 meV per atom
* D(E_F): 0.588 states/eV per atom
* magnetization: 1.02 μB/atom

Cell: 5.916 5.916 5.916 Å, 137.22 137.22 62.10°
Element x y z (fractional)
Mn 0.000 0.000 0.000
Al 0.750 0.250 0.500
Pb 0.250 0.750 0.500
Pb 0.500 0.500 0.000

---

First-principles (GGA-PBE) data for a relaxed structure of Mn3AlPb, as listed in Alexandria.

Summary:
* V: 20.74 A^3/atom
* calculated formation energy: 722 meV per atom
* D(E_F): 0.543 states/eV per atom
* magnetization: 2.18 μB/atom

Cell: 4.698 4.698 4.698 Å, 90.00 90.00 90.00°
Element x y z (fractional)
Mn 0.000 0.000 0.500
Mn 0.000 0.500 0.000
Mn 0.500 0.000 0.000
Al 0.000 0.000 0.000
Pb 0.500 0.500 0.500

---

First-principles (GGA-PBE) data for a relaxed structure of MnAlPb2, as listed in Alexandria.

Summary:
* V: 23.64 A^3/atom
* calculated formation energy: 394 meV per atom
* D(E_F): 0.559 states/eV per atom
* magnetization: 1.03 μB/atom

Cell: 4.772 4.772 4.153 Å, 90.00 90.00 90.00°
Element x y z (fractional)
Mn 0.000 0.000 0.000
Al 0.500 0.500 0.000
Pb 0.000 0.500 0.500
Pb 0.500 0.000 0.500

---

First-principles (GGA-PBE) data for a relaxed structure of MnAlPb2, as listed in Alexandria.

Summary:
* V: 24.66 A^3/atom
* calculated formation energy: 485 meV per atom
* D(E_F): 0.583 states/eV per atom
* magnetization: 1.03 μB/atom

Cell: 5.186 5.186 5.186 Å, 60.00 60.00 60.00°
Element x y z (fractional)
Mn 0.000 0.000 0.000
Al 0.250 0.250 0.250
Pb 0.500 0.500 0.500
Pb 0.750 0.750 0.750

---

First-principles (GGA-PBE) data for a relaxed structure of Mn2AlPb, as listed in Alexandria.

Summary:
* V: 17.35 A^3/atom
* calculated formation energy: 347 meV per atom
* D(E_F): 0.711 states/eV per atom
* magnetization: 1.63 μB/atom

Cell: 4.908 4.908 3.021 Å, 90.00 90.00 107.51°
Element x y z (fractional)
Mn 0.000 0.500 0.000
Mn 0.500 0.000 0.000
Al 0.000 0.000 0.500
Pb 0.500 0.500 0.500

---

First-principles (GGA-PBE) data for a relaxed structure of MnAlPb2, as listed in Alexandria.

Summary:
* V: 23.00 A^3/atom
* calculated formation energy: 269 meV per atom
* D(E_F): 0.530 states/eV per atom
* magnetization: 0.83 μB/atom

Cell: 4.101 4.229 5.682 Å, 90.00 110.95 90.00°
Element x y z (fractional)
Mn 0.000 0.000 0.000
Al 0.854 0.500 0.712
Pb 0.278 0.000 0.558
Pb 0.568 0.500 0.143